Computed, not measured: a relaxed Sr2CaInHg6 crystal at the GGA-PBE level of DFT. Values from VASP.

```
&SYSTEM
  ibrav = 0, nat = 10, ntyp = 4
/
ATOMIC_SPECIES
Sr 87.62 Sr.upf
Ca 40.08 Ca.upf
In 114.82 In.upf
Hg 200.59 Hg.upf
CELL_PARAMETERS angstrom
0.000 5.657 5.657
5.657 0.000 5.657
5.657 5.657 0.000
ATOMIC_POSITIONS crystal
Sr 0.250 0.250 0.250
Sr 0.750 0.750 0.750
Ca 0.000 0.000 0.000
In 0.500 0.500 0.500
Hg 0.254 0.254 0.746
Hg 0.254 0.746 0.254
Hg 0.254 0.746 0.746
Hg 0.746 0.254 0.254
Hg 0.746 0.254 0.746
Hg 0.746 0.746 0.254
```

Results
As for the space-group type: No. 225. The formation energy is -0.1055 eV per atom.


Computed, not measured: a relaxed SrCa2InHg4 crystal at the GGA-PBE level of DFT. Values from VASP.

```
&SYSTEM
  ibrav = 0, nat = 8, ntyp = 4
/
ATOMIC_SPECIES
Sr 87.62 Sr.upf
Ca 40.08 Ca.upf
In 114.82 In.upf
Hg 200.59 Hg.upf
CELL_PARAMETERS angstrom
2.659 1.535 9.137
-2.659 1.535 9.137
0.000 -3.070 9.137
ATOMIC_POSITIONS crystal
Sr 0.000 0.000 0.000
Ca 0.240 0.240 0.240
Ca 0.760 0.760 0.760
In 0.500 0.500 0.500
Hg 0.123 0.123 0.123
Hg 0.378 0.378 0.378
Hg 0.622 0.622 0.622
Hg 0.877 0.877 0.877
```

Results
As for the space-group type: No. 166. The formation energy is -0.4506 eV per atom.


Computed, not measured: a relaxed CaInTc2Hg crystal at the GGA-PBE level of DFT. Values from VASP.

```
&SYSTEM
  ibrav = 0, nat = 5, ntyp = 4
/
ATOMIC_SPECIES
Ca 40.08 Ca.upf
In 114.82 In.upf
Tc 98.00 Tc.upf
Hg 200.59 Hg.upf
CELL_PARAMETERS angstrom
5.115 0.000 0.000
0.000 5.115 0.000
0.000 0.000 5.268
ATOMIC_POSITIONS crystal
Ca 0.000 0.000 0.000
In 0.500 0.500 0.500
Tc 0.000 0.500 0.500
Tc 0.500 0.000 0.500
Hg 0.500 0.500 0.000
```

Results
As for the space-group type: No. 123. The formation energy is 1.3099 eV per atom.


Computed, not measured: a relaxed CaThInHg crystal at the GGA-PBE level of DFT. Values from VASP.

```
&SYSTEM
  ibrav = 0, nat = 4, ntyp = 4
/
ATOMIC_SPECIES
Ca 40.08 Ca.upf
Th 232.04 Th.upf
In 114.82 In.upf
Hg 200.59 Hg.upf
CELL_PARAMETERS angstrom
3.630 0.000 0.000
0.000 3.630 0.000
0.000 0.000 8.481
ATOMIC_POSITIONS crystal
Ca 0.000 0.000 0.000
Th 0.000 0.000 0.512
In 0.500 0.500 0.251
Hg 0.500 0.500 0.766
```

Results
Its energy relative to the lowest polymorph listed for this composition is 0 meV per atom. As for the space-group type: No. 99. The formation energy is -0.3760 eV per atom.


Computed, not measured: a relaxed CaThInHg crystal at the GGA-PBE level of DFT. Values from VASP.

```
&SYSTEM
  ibrav = 0, nat = 4, ntyp = 4
/
ATOMIC_SPECIES
Ca 40.08 Ca.upf
Th 232.04 Th.upf
In 114.82 In.upf
Hg 200.59 Hg.upf
CELL_PARAMETERS angstrom
0.000 3.844 3.844
3.844 0.000 3.844
3.844 3.844 0.000
ATOMIC_POSITIONS crystal
Ca 0.000 0.000 0.000
Th 0.500 0.500 0.500
In 0.250 0.250 0.250
Hg 0.750 0.750 0.750
```

Results
Its energy relative to the lowest polymorph listed for this composition is 58 meV per atom. As for the space-group type: No. 216. The formation energy is -0.3182 eV per atom.


Computed, not measured: a relaxed CaTlInHg crystal at the GGA-PBE level of DFT. Values from VASP.

```
&SYSTEM
  ibrav = 0, nat = 4, ntyp = 4
/
ATOMIC_SPECIES
Ca 40.08 Ca.upf
Tl 204.38 Tl.upf
In 114.82 In.upf
Hg 200.59 Hg.upf
CELL_PARAMETERS angstrom
0.000 3.764 3.764
3.764 0.000 3.764
3.764 3.764 0.000
ATOMIC_POSITIONS crystal
Ca 0.000 0.000 0.000
Tl 0.250 0.250 0.250
In 0.500 0.500 0.500
Hg 0.750 0.750 0.750
```

Results
As for the space-group type: No. 216. The formation energy is -0.3057 eV per atom.


Computed, not measured: a relaxed Ca4Tl2InHg crystal at the GGA-PBE level of DFT. Values from VASP.

```
&SYSTEM
  ibrav = 0, nat = 8, ntyp = 4
/
ATOMIC_SPECIES
Ca 40.08 Ca.upf
Tl 204.38 Tl.upf
In 114.82 In.upf
Hg 200.59 Hg.upf
CELL_PARAMETERS angstrom
2.726 1.574 8.904
-2.726 1.574 8.904
0.000 -3.148 8.904
ATOMIC_POSITIONS crystal
Ca 0.123 0.123 0.123
Ca 0.374 0.374 0.374
Ca 0.626 0.626 0.626
Ca 0.877 0.877 0.877
Tl 0.249 0.249 0.249
Tl 0.751 0.751 0.751
In 0.500 0.500 0.500
Hg 0.000 0.000 0.000
```

Results
As for the space-group type: No. 166. The formation energy is -0.4801 eV per atom.


Computed, not measured: a relaxed CaTlIn2Hg crystal at the GGA-PBE level of DFT. Values from VASP.

```
&SYSTEM
  ibrav = 0, nat = 5, ntyp = 4
/
ATOMIC_SPECIES
Ca 40.08 Ca.upf
Tl 204.38 Tl.upf
In 114.82 In.upf
Hg 200.59 Hg.upf
CELL_PARAMETERS angstrom
7.047 0.000 0.000
0.000 7.047 0.000
0.000 0.000 8.177
ATOMIC_POSITIONS crystal
Ca 0.000 0.000 0.000
Tl 0.000 0.000 0.500
In 0.000 0.500 0.500
In 0.500 0.000 0.500
Hg 0.500 0.500 0.000
```

Results
As for the space-group type: No. 123. The formation energy is 0.7565 eV per atom.


Computed, not measured: a relaxed Ca3Tl2In2Hg4 crystal at the GGA-PBE level of DFT. Values from VASP.

```
&SYSTEM
  ibrav = 0, nat = 11, ntyp = 4
/
ATOMIC_SPECIES
Ca 40.08 Ca.upf
Tl 204.38 Tl.upf
In 114.82 In.upf
Hg 200.59 Hg.upf
CELL_PARAMETERS angstrom
5.065 0.000 0.000
-2.532 4.386 0.000
0.000 0.000 13.837
ATOMIC_POSITIONS crystal
Ca 0.000 0.000 0.000
Ca 0.000 0.000 0.272
Ca 0.000 0.000 0.728
Tl 0.333 0.667 0.140
Tl 0.667 0.333 0.860
In 0.333 0.667 0.583
In 0.667 0.333 0.417
Hg 0.333 0.667 0.369
Hg 0.333 0.667 0.882
Hg 0.667 0.333 0.118
Hg 0.667 0.333 0.631
```

Results
As for the space-group type: No. 164. The formation energy is -0.3104 eV per atom.


Computed, not measured: a relaxed Ca4TlIn2Hg crystal at the GGA-PBE level of DFT. Values from VASP.

```
&SYSTEM
  ibrav = 0, nat = 8, ntyp = 4
/
ATOMIC_SPECIES
Ca 40.08 Ca.upf
Tl 204.38 Tl.upf
In 114.82 In.upf
Hg 200.59 Hg.upf
CELL_PARAMETERS angstrom
2.725 1.573 8.902
-2.725 1.573 8.902
0.000 -3.147 8.902
ATOMIC_POSITIONS crystal
Ca 0.123 0.123 0.123
Ca 0.373 0.373 0.373
Ca 0.627 0.627 0.627
Ca 0.877 0.877 0.877
Tl 0.500 0.500 0.500
In 0.249 0.249 0.249
In 0.751 0.751 0.751
Hg 0.000 0.000 0.000
```

Results
As for the space-group type: No. 166. The formation energy is -0.4848 eV per atom.


Computed, not measured: a relaxed Ca2TlInHg crystal at the GGA-PBE level of DFT. Values from VASP.

```
&SYSTEM
  ibrav = 0, nat = 10, ntyp = 4
/
ATOMIC_SPECIES
Ca 40.08 Ca.upf
Tl 204.38 Tl.upf
In 114.82 In.upf
Hg 200.59 Hg.upf
CELL_PARAMETERS angstrom
7.584 0.000 0.000
0.000 4.945 0.000
-1.577 0.000 7.670
ATOMIC_POSITIONS crystal
Ca 0.017 0.250 0.170
Ca 0.406 0.750 0.650
Ca 0.594 0.250 0.350
Ca 0.983 0.750 0.830
Tl 0.101 0.250 0.593
Tl 0.899 0.750 0.407
In 0.315 0.750 0.196
In 0.685 0.250 0.804
Hg 0.330 0.250 0.959
Hg 0.670 0.750 0.041
```

Results
As for the space-group type: No. 11. The formation energy is -0.3393 eV per atom.


Computed, not measured: a relaxed CaTmInHg crystal at the GGA-PBE level of DFT. Values from VASP.

```
&SYSTEM
  ibrav = 0, nat = 4, ntyp = 4
/
ATOMIC_SPECIES
Ca 40.08 Ca.upf
Tm 168.93 Tm.upf
In 114.82 In.upf
Hg 200.59 Hg.upf
CELL_PARAMETERS angstrom
0.000 3.755 3.755
3.755 0.000 3.755
3.755 3.755 0.000
ATOMIC_POSITIONS crystal
Ca 0.000 0.000 0.000
Tm 0.500 0.500 0.500
In 0.250 0.250 0.250
Hg 0.750 0.750 0.750
```

Results
As for the space-group type: No. 216. The formation energy is -0.4764 eV per atom.


Computed, not measured: a relaxed CaTm2In2Hg2 crystal at the GGA-PBE level of DFT. Values from VASP.

```
&SYSTEM
  ibrav = 0, nat = 7, ntyp = 4
/
ATOMIC_SPECIES
Ca 40.08 Ca.upf
Tm 168.93 Tm.upf
In 114.82 In.upf
Hg 200.59 Hg.upf
CELL_PARAMETERS angstrom
2.482 1.433 9.095
-2.482 1.433 9.095
0.000 -2.866 9.095
ATOMIC_POSITIONS crystal
Ca 0.000 0.000 0.000
Tm 0.133 0.133 0.133
Tm 0.867 0.867 0.867
In 0.261 0.261 0.261
In 0.739 0.739 0.739
Hg 0.435 0.435 0.435
Hg 0.565 0.565 0.565
```

Results
As for the space-group type: No. 166. The formation energy is -0.2895 eV per atom.